[1]
4
Lattice="5.019 0.000 0.000 2.510 4.347 0.000 2.510 1.449 4.098" Properties=species:S:1:pos:R:3 comment="NaZnPbAu | Alexandria via LeMat-Bulk | PBE | relaxed" formation_enthalpy_0k_ev_per_atom=-0.08 m_tot_mub_per_fu=0.0 pbc="T T T"
Pb 7.529 4.347 3.074
Na 2.510 1.449 1.025
Zn 0.000 0.000 0.000
Au 5.019 2.898 2.049



[2]
10
Lattice="-1.060 -2.161 4.898 -4.637 -2.785 0.725 2.614 -7.845 -1.069" Properties=species:S:1:pos:R:3 comment="Na2Pd2Au | Alexandria via LeMat-Bulk | PBE | relaxed" formation_enthalpy_0k_ev_per_atom=-0.11 e_above_lowest_polymorph_mev_per_atom=41.3 m_tot_mub_per_fu=0.0 pbc="T T T"
Na -1.075 -2.854 2.367
Na -2.320 -5.841 3.881
Na -2.007 -9.937 2.186
Na -0.763 -6.950 0.673
Pd 0.490 -5.511 3.095
Pd -2.253 -2.900 5.057
Pd -3.572 -7.280 1.459
Pd -0.829 -9.891 -0.503
Au -3.380 -4.641 1.162
Au 0.297 -8.150 3.392



> Number 2 is which compound?

Na2Pd2Au